DFT (GGA-PBE) results for a geometry-optimized Ba3In2Ga4 structure.

Lattice parameters (Å, degrees): 4.6406 4.6406 31.1247 90.00 90.00 120.00
Last column: nearest neighbours and their distance in Å.
Space group P3m1 (No. 156)
Symmetry-distinct sites (fractional):
Ba 0.0000 0.0000 0.0000  6 Ga 3.60-3.67, 3 In 3.66
Ba 0.0000 0.0000 0.1593  9 Ga 3.63-3.71, 3 In 3.81
Ba 0.0000 0.0000 0.3296  9 Ga 3.63-3.85, 3 In 3.73
Ba 0.0000 0.0000 0.4899  9 Ga 3.64-3.69, 3 In 3.81
Ba 0.0000 0.0000 0.6603  9 Ga 3.62-3.85, 3 In 3.73
Ba 0.0000 0.0000 0.8194  6 Ga 3.59-3.68, 3 In 3.66
In 0.3333 0.6667 0.8993  3 In 2.76
In 0.6667 0.3333 0.2463  3 Ga 2.69
In 0.6667 0.3333 0.5771  3 Ga 2.68
In 0.6667 0.3333 0.9201  3 In 2.76
Ga 0.3333 0.6667 0.0807  3 Ga 2.68
Ga 0.3333 0.6667 0.2406  3 In 2.69
Ga 0.3333 0.6667 0.4109  3 Ga 2.68
Ga 0.3333 0.6667 0.5716  3 In 2.68
Ga 0.3333 0.6667 0.7426  3 Ga 2.68
Ga 0.6667 0.3333 0.0770  3 Ga 2.68
Ga 0.6667 0.3333 0.4082  3 Ga 2.68
Ga 0.6667 0.3333 0.7383  3 Ga 2.68

Values from the calculation:
VASP energy	-3.017	eV per atom
DOS at the Fermi energy	13.0	states/eV/cell
V	290.2	Å³/f.u.